# MgTlIr2

A geometry-optimized MgTlIr2 structure (GGA-PBE, Alexandria).

Cell lengths 4.0519, 2.9204, 6.4757 Å; angles 63.19, 90.00, 90.00 degrees
Positions (direct):
Ir  0.0000  0.9863  0.0140
Ir  0.5000  0.2431  0.2570
Mg  0.0000  0.5312  0.4688
Tl  0.5000  0.7394  0.7601

Calculated values
- Raw total energy: -5.228 eV per atom